#i
! AlTeRu2 PBEsol relaxed; values from VASP
&SYSTEM
  ibrav = 0, nat = 4, ntyp = 3
/
ATOMIC_SPECIES
Al 26.98 Al.upf
Te 127.60 Te.upf
Ru 101.07 Ru.upf
ATOMIC_POSITIONS crystal
Al 0.000 0.000 0.000
Te 0.250 0.250 0.250
Ru 0.500 0.500 0.500
Ru 0.750 0.750 0.750
CELL_PARAMETERS angstrom
0.000 3.169 3.169
3.169 0.000 3.169
3.169 3.169 0.000
! - theoretical density (g cm⁻³) = 9.31
! - calculated volume (Å³ per cell) = 63.6



#ii
! AlTeRu2 PBEsol relaxed; values from VASP
&SYSTEM
  ibrav = 0, nat = 4, ntyp = 3
/
ATOMIC_SPECIES
Al 26.98 Al.upf
Te 127.60 Te.upf
Ru 101.07 Ru.upf
ATOMIC_POSITIONS crystal
Al 0.000 0.000 0.000
Te 0.273 0.773 0.500
Ru 0.499 0.499 0.000
Ru 0.775 0.275 0.500
CELL_PARAMETERS angstrom
-1.554 2.128 4.754
1.554 -2.128 4.754
1.554 2.128 -4.754
! - theoretical density (g cm⁻³) = 9.42
! - calculated volume (Å³ per cell) = 62.9



Ranked by calculated energy, most stable first: #ii, #i.



#i
! AlTl2Ru PBEsol relaxed; values from VASP
&SYSTEM
  ibrav = 0, nat = 4, ntyp = 3
/
ATOMIC_SPECIES
Al 26.98 Al.upf
Tl 204.38 Tl.upf
Ru 101.07 Ru.upf
ATOMIC_POSITIONS crystal
Al 0.000 0.000 0.000
Tl 0.250 0.750 0.500
Tl 0.750 0.250 0.500
Ru 0.500 0.500 0.000
CELL_PARAMETERS angstrom
-2.092 2.092 4.220
2.092 -2.092 4.220
2.092 2.092 -4.220
! - theoretical density (g cm⁻³) = 12.07
! - calculated volume (Å³ per cell) = 73.9



#ii
! AlTl2Ru PBEsol relaxed; values from VASP
&SYSTEM
  ibrav = 0, nat = 4, ntyp = 3
/
ATOMIC_SPECIES
Al 26.98 Al.upf
Tl 204.38 Tl.upf
Ru 101.07 Ru.upf
ATOMIC_POSITIONS crystal
Al 0.000 0.000 0.000
Tl 0.000 0.280 0.280
Tl 0.500 0.594 0.594
Ru 0.500 0.871 0.871
CELL_PARAMETERS angstrom
4.146 0.000 0.000
0.000 1.831 5.141
0.000 -1.831 5.141
! - theoretical density (g cm⁻³) = 11.42
! - calculated volume (Å³ per cell) = 78.0



Ranked by calculated energy, most stable first: #ii, #i.



#i
! Al2RuW PBEsol relaxed; values from VASP
&SYSTEM
  ibrav = 0, nat = 4, ntyp = 3
/
ATOMIC_SPECIES
Al 26.98 Al.upf
Ru 101.07 Ru.upf
W 183.84 W.upf
ATOMIC_POSITIONS crystal
Al 0.000 0.000 0.000
Al 0.750 0.250 0.500
Ru 0.500 0.500 0.000
W 0.250 0.750 0.500
CELL_PARAMETERS angstrom
-1.912 1.912 3.933
1.912 -1.912 3.933
1.912 1.912 -3.933
! - theoretical density (g cm⁻³) = 9.79
! - calculated volume (Å³ per cell) = 57.5



#ii
! Al2RuW PBEsol relaxed; values from VASP
&SYSTEM
  ibrav = 0, nat = 4, ntyp = 3
/
ATOMIC_SPECIES
Al 26.98 Al.upf
Ru 101.07 Ru.upf
W 183.84 W.upf
ATOMIC_POSITIONS crystal
Al 0.000 0.000 0.000
Al 0.250 0.250 0.250
Ru 0.750 0.750 0.750
W 0.500 0.500 0.500
CELL_PARAMETERS angstrom
0.000 3.062 3.062
3.062 0.000 3.062
3.062 3.062 0.000
! - theoretical density (g cm⁻³) = 9.80
! - calculated volume (Å³ per cell) = 57.4



Ranked by calculated energy, most stable first: #i, #ii.